# LiCdTe

LiCdTe after structural relaxation (PBE-GGA, the Alexandria database).

a b c (Å): 3.522 3.522 6.845
angles (deg): 90.00 90.00 120.00
Fractional coordinates of all 3 atoms:
Cd 0.000 0.000 0.022
Li 0.667 0.333 0.342
Te 0.333 0.667 0.636

Computed properties:
* space group: P3m1
* formation energy (no corrections): -5.289 kcal/mol of atoms
* distance to the lowest polymorph of the same formula: 55.8 kJ/mol of formula units
* N(E_F): 1.4 states/eV/cell


# EuDyTlAg

EuDyTlAg after structural relaxation (PBE-GGA, the Alexandria database).

a b c (Å): 5.373 5.373 5.373
angles (deg): 60.00 60.00 60.00
Last column: magnetic moment on the atom in μB.
Fractional coordinates of all 4 atoms:
Tl 0.750 0.750 0.750  -0.02
Dy 0.500 0.500 0.500  -0.03
Ag 0.250 0.250 0.250  0.00
Eu 0.000 0.000 0.000  6.79

Computed properties:
* space group: F-43m
* calculated formation energy: -0.311 eV/atom
* N(E_F): 10.4 states/eV/cell


# FeSiP2

FeSiP2 after structural relaxation (PBE-GGA, the Alexandria database).

a b c (Å): 2.822 2.817 6.419
angles (deg): 90.00 90.00 90.00
Last column: magnetic moment on the atom in μB.
Fractional coordinates of all 4 atoms:
P 0.000 0.000 0.540  -0.01
P 0.000 0.000 0.960  -0.01
Fe 0.500 0.500 0.750  0.95
Si 0.500 0.500 0.250  0.00

Computed properties:
* space group: P4/mmm
* formation energy (no corrections): 3.401 kcal/mol of atoms
* N(E_F): 1.6 states/eV/cell


# TbScO4

TbScO4 after structural relaxation (PBE-GGA, the Alexandria database).

a b c (Å): 3.609 3.828 5.999
angles (deg): 95.21 90.00 118.13
Fractional coordinates of all 6 atoms:
Sc 0.072 0.143 0.023
O 0.103 0.206 0.380
O 0.655 0.309 0.816
O 0.846 0.693 0.715
O 0.394 0.788 0.090
Tb 0.431 0.861 0.477

Computed properties:
* space group: Cm
* formation energy (no corrections): -66.596 kcal/mol of atoms
* N(E_F): 0.0 states/eV/cell


- Which of these has the highest N(E_F)?
  EuDyTlAg


- What is the N(E_F) in the first record?
  1.4 states/eV/cell


Copy entry 3 word for word.
# FeSiP2

FeSiP2 after structural relaxation (PBE-GGA, the Alexandria database).

a b c (Å): 2.822 2.817 6.419
angles (deg): 90.00 90.00 90.00
Last column: magnetic moment on the atom in μB.
Fractional coordinates of all 4 atoms:
P 0.000 0.000 0.540  -0.01
P 0.000 0.000 0.960  -0.01
Fe 0.500 0.500 0.750  0.95
Si 0.500 0.500 0.250  0.00

Computed properties:
* space group: P4/mmm
* formation energy (no corrections): 3.401 kcal/mol of atoms
* N(E_F): 1.6 states/eV/cell


- Which formula does entry 4 have?
  TbScO4